1.
## Ca5PuRh4 (PBE)

Data for crystalline Ca5PuRh4 at its relaxed geometry.

Cell and atoms, written as CIF:
```
data_Ca5PuRh4
_cell_length_a 15.342
_cell_length_b 4.727
_cell_length_c 6.931
_cell_angle_alpha 90.00
_cell_angle_beta 99.50
_cell_angle_gamma 90.00
_symmetry_space_group_name_H-M 'C 1 2/m 1'
_symmetry_Int_Tables_number 12
_symmetry_space_group_name_Hall '-C 2y'
loop_
_atom_site_label
_atom_site_type_symbol
_atom_site_fract_x
_atom_site_fract_y
_atom_site_fract_z
Ca1 Ca 0.000 0.000 0.000
Ca2 Ca 0.165 0.500 0.035
Ca3 Ca 0.172 0.500 0.534
Pu1 Pu 0.000 0.000 0.500
Rh1 Rh 0.005 0.500 0.723
Rh2 Rh 0.145 0.000 0.755
```

***

2.
## CaPuRh (PBE)

Data for crystalline CaPuRh at its relaxed geometry.

Cell and atoms, written as CIF:
```
data_CaPuRh
_cell_length_a 7.048
_cell_length_b 5.964
_cell_length_c 7.597
_cell_angle_alpha 90.00
_cell_angle_beta 107.75
_cell_angle_gamma 90.00
_symmetry_space_group_name_H-M 'P 1 21/c 1'
_symmetry_Int_Tables_number 14
_symmetry_space_group_name_Hall '-P 2ybc'
loop_
_atom_site_label
_atom_site_type_symbol
_atom_site_fract_x
_atom_site_fract_y
_atom_site_fract_z
Ca1 Ca 0.127 0.127 0.357
Pu1 Pu 0.428 0.658 0.309
Rh1 Rh 0.191 0.596 0.526
```

Calculated values
ΔE to the lowest computed polymorph   135 meV per atom

***

Number 1: magnetic moment 4.45 μB/f.u., final energy -114.4 eV per cell, V 24.79 Å³/atom. Number 2: magnetic moment 5.69 μB/f.u., final energy -98.2 eV per cell, V 25.35 Å³/atom.